Entry 1:
First-principles (PBE) data for a geometry-optimized DyYSc structure, as listed in Alexandria.

Lattice parameters (Å, degrees): 3.4818 3.4818 14.5091 90.00 90.00 90.00
Atoms (fractional coordinates):
1 Dy 0.0000 0.0000 0.0000
2 Dy 0.5000 0.5000 0.5000
3 Y 0.0000 0.0000 0.6775
4 Y 0.5000 0.5000 0.1775
5 Sc 0.0000 0.0000 0.3401
6 Sc 0.5000 0.5000 0.8401

Properties
formation energy: 4.7 kJ per mole of atoms
density: 5.6 g cm⁻³
space-group type: No. 107
relative energy among the computed polymorphs: 9.9 meV per atom



Entry 2:
First-principles (PBE) data for a geometry-optimized SrCuPRh structure, as listed in Alexandria.

Lattice parameters (Å, degrees): 3.8640 3.8640 11.0935 90.00 90.00 90.00
Atoms (fractional coordinates):
1 Sr 0.2500 0.2500 0.2378
2 Sr 0.7500 0.7500 0.7622
3 Cu 0.2500 0.7500 0.0000
4 Cu 0.7500 0.2500 0.0000
5 P 0.2500 0.2500 0.6237
6 P 0.7500 0.7500 0.3763
7 Rh 0.2500 0.7500 0.5000
8 Rh 0.7500 0.2500 0.5000

Properties
formation energy: -51.8 kJ per mole of atoms
density: 5.7 g cm⁻³
space-group type: No. 129



Entry 3:
First-principles (PBE) data for a geometry-optimized Pr5AlAg structure, as listed in Alexandria.

Lattice parameters (Å, degrees): 6.5126 6.5126 10.5994 90.35 90.35 90.88
Atoms (fractional coordinates):
1 Pr 0.0436 0.6112 0.3323
2 Pr 0.1486 0.8514 0.7500
3 Pr 0.2413 0.4276 0.9985
4 Pr 0.3888 0.9564 0.1677
5 Pr 0.4276 0.2413 0.4985
6 Pr 0.5724 0.7587 0.5015
7 Pr 0.6112 0.0436 0.8323
8 Pr 0.7587 0.5724 0.0015
9 Pr 0.8514 0.1486 0.2500
10 Pr 0.9564 0.3888 0.6677
11 Al 0.4908 0.5092 0.7500
12 Al 0.5092 0.4908 0.2500
13 Ag 0.0000 0.0000 0.0000
14 Ag 0.0000 0.0000 0.5000

Properties
formation energy: -3.2 kJ per mole of atoms
density: 6.2 g cm⁻³
space-group type: No. 15



Entry 4:
First-principles (PBE) data for a geometry-optimized PmVSbPd structure, as listed in Alexandria.

Lattice parameters (Å, degrees): 7.0350 7.0350 7.0350 90.00 90.00 90.00
Atoms (fractional coordinates):
1 Pm 0.0000 0.0000 0.0000
2 Pm 0.0000 0.5000 0.5000
3 Pm 0.5000 0.0000 0.5000
4 Pm 0.5000 0.5000 0.0000
5 V 0.0000 0.0000 0.5000
6 V 0.0000 0.5000 0.0000
7 V 0.5000 0.0000 0.0000
8 V 0.5000 0.5000 0.5000
9 Sb 0.2500 0.2500 0.2500
10 Sb 0.2500 0.7500 0.7500
11 Sb 0.7500 0.2500 0.7500
12 Sb 0.7500 0.7500 0.2500
13 Pd 0.2500 0.2500 0.7500
14 Pd 0.2500 0.7500 0.2500
15 Pd 0.7500 0.2500 0.2500
16 Pd 0.7500 0.7500 0.7500

Properties
formation energy without anion corrections: -0.30 eV/atom
density: 8.1 g cm⁻³
space-group type: No. 216